(1)
## Ba2AlFeB (PBE)

Data for Ba2AlFeB after structural relaxation.

Cell: 5.9936 3.8805 5.9936 Å, 90.00 90.00 90.00°
Last column: nearest neighbours and their distance in Å.
Positions (direct):
B 0.0000 0.0000 0.0000  2 Fe 1.94
Al 0.5000 0.5000 0.5000  8 Ba 3.57, 2 Al 3.88
Ba 0.0000 0.0000 0.5000  2 B 3.00
Ba 0.5000 0.0000 0.0000  2 B 3.00
Fe 0.0000 0.5000 0.0000  2 B 1.94

## Properties
Total magnetization in μB per atom: 0.05
Formation enthalpy at 0 K in eV per atom: 0.471

***

(2)
## Ba3Al2B10H4O23 (PBE)

Data for Ba3Al2B10H4O23 after structural relaxation.

Cell: 24.0832 23.5528 7.1840 Å, 85.54 77.16 17.30°
Last column: nearest neighbours and their distance in Å.
Positions (direct):
Ba 0.7801 0.5324 0.2124  10 O 2.83-3.06
Ba 0.2124 0.4751 0.7801  10 O 2.83-3.06
Ba 0.7749 0.0376 0.7176  10 O 2.83-3.06
Ba 0.7176 0.4699 0.7749  10 O 2.83-3.06
Ba 0.7570 0.7430 0.7570  7 O 2.57-2.81
Ba 0.5070 0.4930 0.5070  7 O 2.57-2.81
Al 0.4465 0.8891 0.8959  4 O 1.76-1.78
Al 0.8959 0.7686 0.4465  4 O 1.76-1.78
Al 0.4814 0.3541 0.3609  4 O 1.76-1.78
Al 0.3609 0.8035 0.4814  4 O 1.76-1.78
B 0.2654 0.0564 0.6182  3 O 1.36-1.42
B 0.6182 0.0600 0.2654  3 O 1.36-1.42
B 0.1900 0.6318 0.1936  3 O 1.36-1.42
B 0.1936 0.9846 0.1900  3 O 1.36-1.42
B 0.8946 0.4409 0.6881  4 O 1.45-1.52
B 0.6881 0.9765 0.8946  4 O 1.45-1.52
B 0.2735 0.5619 0.8091  4 O 1.45-1.52
B 0.8091 0.3554 0.2735  4 O 1.45-1.52
B 0.2679 0.1745 0.9778  3 O 1.36-1.39
B 0.9778 0.5798 0.2679  3 O 1.36-1.39
B 0.6702 0.2722 0.0755  3 O 1.36-1.39
B 0.0755 0.9821 0.6702  3 O 1.36-1.39
B 0.1666 0.3698 0.8933  4 O 1.45-1.51
B 0.8933 0.5704 0.1666  4 O 1.45-1.51
B 0.6796 0.3567 0.8802  4 O 1.45-1.51
B 0.8802 0.0834 0.6796  4 O 1.45-1.51
B 0.1663 0.1388 0.3434  3 O 1.36-1.40
B 0.3434 0.3515 0.1663  3 O 1.36-1.40
B 0.8985 0.9066 0.1112  3 O 1.36-1.40
B 0.1112 0.0837 0.8985  3 O 1.36-1.40
H 0.9725 0.4314 0.4545  1 O 0.98
H 0.4545 0.1416 0.9725  1 O 0.98
H 0.1084 0.7955 0.8186  1 O 0.98
H 0.8186 0.2775 0.1084  1 O 0.98
H 0.3665 0.1964 0.5725  1 O 0.97
H 0.5725 0.8647 0.3665  1 O 0.97
H 0.3853 0.6775 0.0536  1 O 0.97
H 0.0536 0.8835 0.3853  1 O 0.97
O 0.9017 0.4945 0.6117  1 H 0.98
O 0.6117 0.9921 0.9017  1 H 0.98
O 0.2579 0.6383 0.7555  1 H 0.98
O 0.7555 0.3483 0.2579  1 H 0.98
O 0.9644 0.5356 0.9644  2 B 1.45
O 0.7144 0.2856 0.7144  2 B 1.45
O 0.4257 0.8954 0.6672  1 B 1.36
O 0.6672 0.0117 0.4257  1 B 1.36
O 0.2383 0.5828 0.3546  1 B 1.36
O 0.3546 0.8243 0.2383  1 B 1.36
O 0.0564 0.3667 0.1339  2 B 1.39-1.51
O 0.1339 0.4431 0.0564  2 B 1.39-1.51
O 0.8069 0.1161 0.8833  2 B 1.39-1.51
O 0.8833 0.1936 0.8069  2 B 1.39-1.51
O 0.3306 0.1682 0.8742  2 B 1.39-1.49
O 0.8742 0.6269 0.3306  2 B 1.39-1.49
O 0.6231 0.3758 0.0818  2 B 1.39-1.49
O 0.0818 0.9194 0.6231  2 B 1.39-1.49
O 0.4296 0.9795 0.9217  1 B 1.36
O 0.9217 0.6692 0.4296  1 B 1.36
O 0.5808 0.3283 0.2705  1 B 1.36
O 0.2705 0.8204 0.5808  1 B 1.36
O 0.0582 0.2715 0.7604  2 B 1.37-1.51
O 0.7604 0.9099 0.0582  2 B 1.37-1.51
O 0.3401 0.4896 0.9785  2 B 1.37-1.51
O 0.9785 0.1918 0.3401  2 B 1.37-1.51
O 0.2347 0.3380 0.6891  1 H 0.97
O 0.6891 0.7382 0.2347  1 H 0.97
O 0.5118 0.5609 0.9120  1 H 0.97
O 0.9120 0.0153 0.5118  1 H 0.97
O 0.3246 0.9914 0.4013  2 B 1.40-1.42
O 0.4013 0.2827 0.3246  2 B 1.40-1.42
O 0.9673 0.8487 0.2586  2 B 1.40-1.42
O 0.2586 0.9254 0.9673  2 B 1.40-1.42
O 0.9511 0.3500 0.5007  2 B 1.39-1.52
O 0.5007 0.1982 0.9511  2 B 1.39-1.52
O 0.0518 0.7493 0.9000  2 B 1.39-1.52
O 0.9000 0.2989 0.0518  2 B 1.39-1.52
O 0.6846 0.6274 0.8690  1 B 1.45
O 0.8690 0.8190 0.6846  1 B 1.45
O 0.4310 0.3810 0.6226  1 B 1.45
O 0.6226 0.5654 0.4310  1 B 1.45
O 0.2189 0.0806 0.1374  1 B 1.36
O 0.1374 0.5631 0.2189  1 B 1.36
O 0.6869 0.1126 0.1694  1 B 1.36
O 0.1694 0.0311 0.6869  1 B 1.36

## Properties
Total magnetization in μB per atom: 0.00
Uncorrected energy in eV/atom: -7.415

***

(3)
## BaAl2InB (PBE)

Data for BaAl2InB after structural relaxation.

Cell: 4.5920 5.5715 4.5920 Å, 90.00 90.00 90.00°
Last column: nearest neighbours and their distance in Å.
Positions (direct):
B 0.0000 0.0000 0.0000  4 Al 2.30
Al 0.0000 0.0000 0.5000  2 B 2.30
Al 0.5000 0.0000 0.0000  2 B 2.30
Ba 0.0000 0.5000 0.0000  2 B 2.79
In 0.5000 0.5000 0.5000  4 Ba 3.25, 8 Al 3.61

## Properties
Total magnetization in μB per atom: 0.00
Formation enthalpy at 0 K in eV per atom: 0.385

***

(4)
## BaLiAl2B (PBE)

Data for BaLiAl2B after structural relaxation.

Cell: 4.4850 5.0326 4.4850 Å, 90.00 90.00 90.00°
Last column: nearest neighbours and their distance in Å.
Positions (direct):
B 0.0000 0.0000 0.0000  4 Al 2.24
Li 0.0000 0.5000 0.0000  2 B 2.52
Ba 0.5000 0.5000 0.5000  4 Li 3.17, 8 Al 3.37
Al 0.0000 0.0000 0.5000  2 B 2.24
Al 0.5000 0.0000 0.0000  2 B 2.24

## Properties
Total magnetization in μB per atom: 0.00
Formation enthalpy at 0 K in eV per atom: 0.287

***

(5)
## BaAlNiB2 (PBE)

Data for BaAlNiB2 after structural relaxation.

Cell: 4.9477 5.0410 4.9477 Å, 90.00 90.00 90.00°
Last column: nearest neighbours and their distance in Å.
Positions (direct):
Ni 0.0000 0.5000 0.0000  2 Ba 2.52
B 0.0000 0.0000 0.5000  2 Ba 2.47
B 0.5000 0.0000 0.0000  2 Ba 2.47
Ba 0.0000 0.0000 0.0000  4 B 2.47, 2 Ni 2.52
Al 0.5000 0.5000 0.5000  4 Ni 3.50, 8 B 3.53

## Properties
Total magnetization in μB per atom: 0.00
Formation enthalpy at 0 K in eV per atom: 2.520

***

(6)
## BaAlB2Pd (PBE)

Data for BaAlB2Pd after structural relaxation.

Cell: 4.3382 4.3382 5.8647 Å, 90.00 90.00 90.00°
Last column: nearest neighbours and their distance in Å.
Positions (direct):
B 0.0000 0.5000 0.0000  2 Pd 2.17
B 0.5000 0.0000 0.0000  2 Pd 2.17
Ba 0.0000 0.0000 0.5000  2 Pd 2.93, 4 Al 3.07
Pd 0.0000 0.0000 0.0000  4 B 2.17
Al 0.5000 0.5000 0.5000  4 Ba 3.07

## Properties
Total magnetization in μB per atom: 0.00
Formation enthalpy at 0 K in eV per atom: 1.072

***

(7)
## Ba2AlBPt (PBE)

Data for Ba2AlBPt after structural relaxation.

Cell: 5.9795 4.0110 5.9795 Å, 90.00 90.00 90.00°
Last column: nearest neighbours and their distance in Å.
Positions (direct):
B 0.0000 0.0000 0.0000  2 Al 2.01
Ba 0.0000 0.0000 0.5000  2 B 2.99
Ba 0.5000 0.0000 0.0000  2 B 2.99
Pt 0.5000 0.5000 0.5000  8 Ba 3.60, 2 Pt 4.01
Al 0.0000 0.5000 0.0000  2 B 2.01

## Properties
Total magnetization in μB per atom: 0.00
Formation enthalpy at 0 K in eV per atom: -0.010

***

(8)
## BaAlRe2B (PBE)

Data for BaAlRe2B after structural relaxation.

Cell: 5.1413 4.4819 5.1413 Å, 90.00 90.00 90.00°
Last column: nearest neighbours and their distance in Å.
Positions (direct):
Re 0.0000 0.0000 0.5000  2 Ba 2.57
Re 0.5000 0.0000 0.0000  2 Ba 2.57
B 0.0000 0.5000 0.0000  2 Ba 2.24
Ba 0.0000 0.0000 0.0000  2 B 2.24
Al 0.5000 0.5000 0.5000  8 Re 3.41, 4 B 3.64

## Properties
Total magnetization in μB per atom: 0.45
Formation enthalpy at 0 K in eV per atom: 3.527